Record 1
Here is a geometry-optimized Ac4CoOsBr2 structure from Alexandria via LeMat-Bulk. Energies are from GGA-PBE.

Geometry as CIF:
```
data_Ac4CoOsBr2
_chemical_formula_sum 'Ac4 Co1 Os1 Br2'
_symmetry_space_group_name_H-M 'P 1 2/m 1'
_symmetry_Int_Tables_number 10
_cell_length_a 7.400
_cell_length_b 4.294
_cell_length_c 8.616
_cell_angle_alpha 90.00
_cell_angle_beta 106.76
_cell_angle_gamma 90.00
loop_
_symmetry_equiv_pos_as_xyz
'x,y,z'
'-x,-y,-z'
'-x,y,-z'
'x,-y,z'
loop_
_atom_site_label
_atom_site_fract_x
_atom_site_fract_y
_atom_site_fract_z
_atom_site_occupancy
Ac1 0.229 0.000 0.192 1
Ac2 0.268 0.500 0.806 1
Co1 0.000 0.500 0.000 1
Os1 0.500 0.000 0.000 1
Br1 0.000 0.000 0.500 1
Br2 0.500 0.500 0.500 1
```



Record 2
Here is a geometry-optimized Ac8CoOs3Br4 structure from Alexandria via LeMat-Bulk. Energies are from GGA-PBE.

Geometry as CIF:
```
data_Ac8CoOs3Br4
_chemical_formula_sum 'Ac24 Co3 Os9 Br12'
_symmetry_space_group_name_H-M 'R -3 m'
_symmetry_Int_Tables_number 166
_symmetry_space_group_name_Hall '-R 3 2"'
_cell_length_a 8.6438
_cell_length_b 8.6438
_cell_length_c 24.6185
_cell_angle_alpha 90.00
_cell_angle_beta 90.00
_cell_angle_gamma 120.00
loop_
_atom_site_label
_atom_site_fract_x
_atom_site_fract_y
_atom_site_fract_z
_atom_site_occupancy
Ac1 0.0000 0.0000 0.2316 1
Ac2 0.0004 0.5002 0.2311 1
Co1 0.0000 0.0000 0.5000 1
Os1 0.0000 0.5000 0.5000 1
Br1 0.0000 0.0000 0.0000 1
Br2 0.0000 0.5000 0.0000 1
```



Record 3
Here is a geometry-optimized Ac8CoOs3Br3 structure from Alexandria via LeMat-Bulk. Energies are from GGA-PBE.

Geometry as CIF:
```
data_Ac8CoOs3Br3
_chemical_formula_sum 'Ac16 Co2 Os6 Br6'
_symmetry_space_group_name_H-M 'C 1 2/m 1'
_symmetry_Int_Tables_number 12
_cell_length_a 15.003
_cell_length_b 8.654
_cell_length_c 9.614
_cell_angle_alpha 90.00
_cell_angle_beta 121.43
_cell_angle_gamma 90.00
loop_
_symmetry_equiv_pos_as_xyz
'x,y,z'
'-x,-y,-z'
'-x,y,-z'
'x,-y,z'
'x+1/2,y+1/2,z'
'-x+1/2,-y+1/2,-z'
'-x+1/2,y+1/2,-z'
'x+1/2,-y+1/2,z'
loop_
_atom_site_label
_atom_site_fract_x
_atom_site_fract_y
_atom_site_fract_z
_atom_site_occupancy
Ac1 0.019 0.248 0.310 1
Ac2 0.229 0.000 0.690 1
Ac3 0.232 0.500 0.695 1
Co1 0.000 0.000 0.500 1
Os1 0.000 0.500 0.500 1
Os2 0.250 0.250 0.500 1
Br1 0.000 0.000 0.000 1
Br2 0.250 0.250 0.000 1
```



Record 4
Here is a geometry-optimized Ac8Co3PBr4 structure from Alexandria via LeMat-Bulk. Energies are from GGA-PBE.

Geometry as CIF:
```
data_Ac8Co3PBr4
_chemical_formula_sum 'Ac24 Co9 P3 Br12'
_symmetry_space_group_name_H-M 'R -3 m'
_symmetry_Int_Tables_number 166
_symmetry_space_group_name_Hall '-R 3 2"'
_cell_length_a 8.6407
_cell_length_b 8.6407
_cell_length_c 24.4816
_cell_angle_alpha 90.00
_cell_angle_beta 90.00
_cell_angle_gamma 120.00
loop_
_atom_site_label
_atom_site_fract_x
_atom_site_fract_y
_atom_site_fract_z
_atom_site_occupancy
Ac1 0.0000 0.0000 0.2303 1
Ac2 0.0129 0.5065 0.7688 1
Co1 0.0000 0.5000 0.5000 1
P1 0.0000 0.0000 0.5000 1
Br1 0.0000 0.0000 0.0000 1
Br2 0.0000 0.5000 0.0000 1
```



Record 5
Here is a geometry-optimized Ac8CoP3Br4 structure from Alexandria via LeMat-Bulk. Energies are from GGA-PBE.

Geometry as CIF:
```
data_Ac8CoP3Br4
_chemical_formula_sum 'Ac24 Co3 P9 Br12'
_symmetry_space_group_name_H-M 'R -3 m'
_symmetry_Int_Tables_number 166
_symmetry_space_group_name_Hall '-R 3 2"'
_cell_length_a 8.8519
_cell_length_b 8.8519
_cell_length_c 23.0500
_cell_angle_alpha 90.00
_cell_angle_beta 90.00
_cell_angle_gamma 120.00
loop_
_atom_site_label
_atom_site_fract_x
_atom_site_fract_y
_atom_site_fract_z
_atom_site_occupancy
Ac1 0.0000 0.0000 0.2371 1
Ac2 0.0151 0.5075 0.2347 1
Co1 0.0000 0.0000 0.5000 1
P1 0.0000 0.5000 0.5000 1
Br1 0.0000 0.0000 0.0000 1
Br2 0.0000 0.5000 0.0000 1
```



Record 6
Here is a geometry-optimized Ac6CoP2Br3 structure from Alexandria via LeMat-Bulk. Energies are from GGA-PBE.

Geometry as CIF:
```
data_Ac6CoP2Br3
_chemical_formula_sum 'Ac12 Co2 P4 Br6'
_symmetry_space_group_name_H-M 'C 1 2/m 1'
_symmetry_Int_Tables_number 12
_cell_length_a 7.745
_cell_length_b 13.302
_cell_length_c 8.039
_cell_angle_alpha 90.00
_cell_angle_beta 109.27
_cell_angle_gamma 90.00
loop_
_symmetry_equiv_pos_as_xyz
'x,y,z'
'-x,-y,-z'
'-x,y,-z'
'x,-y,z'
'x+1/2,y+1/2,z'
'-x+1/2,-y+1/2,-z'
'-x+1/2,y+1/2,-z'
'x+1/2,-y+1/2,z'
loop_
_atom_site_label
_atom_site_fract_x
_atom_site_fract_y
_atom_site_fract_z
_atom_site_occupancy
Ac1 0.226 0.157 0.204 1
Ac2 0.247 0.500 0.214 1
Co1 0.000 0.000 0.000 1
P1 0.000 0.332 0.000 1
Br1 0.000 0.180 0.500 1
Br2 0.000 0.500 0.500 1
```



Record 7
Here is a geometry-optimized Ac8Co3PBr3 structure from Alexandria via LeMat-Bulk. Energies are from GGA-PBE.

Geometry as CIF:
```
data_Ac8Co3PBr3
_chemical_formula_sum 'Ac16 Co6 P2 Br6'
_symmetry_space_group_name_H-M 'C 1 2/m 1'
_symmetry_Int_Tables_number 12
_cell_length_a 15.056
_cell_length_b 8.682
_cell_length_c 9.351
_cell_angle_alpha 90.00
_cell_angle_beta 122.41
_cell_angle_gamma 90.00
loop_
_symmetry_equiv_pos_as_xyz
'x,y,z'
'-x,-y,-z'
'-x,y,-z'
'x,-y,z'
'x+1/2,y+1/2,z'
'-x+1/2,-y+1/2,-z'
'-x+1/2,y+1/2,-z'
'x+1/2,-y+1/2,z'
loop_
_atom_site_label
_atom_site_fract_x
_atom_site_fract_y
_atom_site_fract_z
_atom_site_occupancy
Ac1 0.021 0.238 0.300 1
Ac2 0.233 0.000 0.697 1
Ac3 0.241 0.500 0.699 1
Co1 0.000 0.000 0.500 1
Co2 0.250 0.250 0.500 1
P1 0.000 0.500 0.500 1
Br1 0.000 0.500 0.000 1
Br2 0.250 0.250 0.000 1
```



Record 8
Here is a geometry-optimized Ac8CoPd3Br3 structure from Alexandria via LeMat-Bulk. Energies are from GGA-PBE.

Geometry as CIF:
```
data_Ac8CoPd3Br3
_chemical_formula_sum 'Ac16 Co2 Pd6 Br6'
_symmetry_space_group_name_H-M 'C 1 2/m 1'
_symmetry_Int_Tables_number 12
_cell_length_a 15.319
_cell_length_b 8.855
_cell_length_c 9.620
_cell_angle_alpha 90.00
_cell_angle_beta 122.14
_cell_angle_gamma 90.00
loop_
_symmetry_equiv_pos_as_xyz
'x,y,z'
'-x,-y,-z'
'-x,y,-z'
'x,-y,z'
'x+1/2,y+1/2,z'
'-x+1/2,-y+1/2,-z'
'-x+1/2,y+1/2,-z'
'x+1/2,-y+1/2,z'
loop_
_atom_site_label
_atom_site_fract_x
_atom_site_fract_y
_atom_site_fract_z
_atom_site_occupancy
Ac1 0.015 0.239 0.306 1
Ac2 0.225 0.000 0.694 1
Ac3 0.233 0.500 0.701 1
Co1 0.000 0.000 0.500 1
Pd1 0.000 0.500 0.500 1
Pd2 0.250 0.250 0.500 1
Br1 0.000 0.000 0.000 1
Br2 0.250 0.250 0.000 1
```



Record 9
Here is a geometry-optimized Ac6CoPd2Br3 structure from Alexandria via LeMat-Bulk. Energies are from GGA-PBE.

Geometry as CIF:
```
data_Ac6CoPd2Br3
_chemical_formula_sum 'Ac12 Co2 Pd4 Br6'
_symmetry_space_group_name_H-M 'C 1 2/m 1'
_symmetry_Int_Tables_number 12
_cell_length_a 7.593
_cell_length_b 13.170
_cell_length_c 8.631
_cell_angle_alpha 90.00
_cell_angle_beta 106.97
_cell_angle_gamma 90.00
loop_
_symmetry_equiv_pos_as_xyz
'x,y,z'
'-x,-y,-z'
'-x,y,-z'
'x,-y,z'
'x+1/2,y+1/2,z'
'-x+1/2,-y+1/2,-z'
'-x+1/2,y+1/2,-z'
'x+1/2,-y+1/2,z'
loop_
_atom_site_label
_atom_site_fract_x
_atom_site_fract_y
_atom_site_fract_z
_atom_site_occupancy
Ac1 0.223 0.158 0.195 1
Ac2 0.248 0.500 0.195 1
Co1 0.000 0.000 0.000 1
Pd1 0.000 0.333 0.000 1
Br1 0.000 0.162 0.500 1
Br2 0.000 0.500 0.500 1
```



Record 10
Here is a geometry-optimized Ac4CoPdBr2 structure from Alexandria via LeMat-Bulk. Energies are from GGA-PBE.

Geometry as CIF:
```
data_Ac4CoPdBr2
_chemical_formula_sum 'Ac4 Co1 Pd1 Br2'
_symmetry_space_group_name_H-M 'P 1 2/m 1'
_symmetry_Int_Tables_number 10
_cell_length_a 7.588
_cell_length_b 4.316
_cell_length_c 8.646
_cell_angle_alpha 90.00
_cell_angle_beta 107.18
_cell_angle_gamma 90.00
loop_
_symmetry_equiv_pos_as_xyz
'x,y,z'
'-x,-y,-z'
'-x,y,-z'
'x,-y,z'
loop_
_atom_site_label
_atom_site_fract_x
_atom_site_fract_y
_atom_site_fract_z
_atom_site_occupancy
Ac1 0.218 0.000 0.192 1
Ac2 0.253 0.500 0.805 1
Co1 0.000 0.500 0.000 1
Pd1 0.500 0.000 0.000 1
Br1 0.000 0.000 0.500 1
Br2 0.500 0.500 0.500 1
```



Record 11
Here is a geometry-optimized Ac8CoPd3Br4 structure from Alexandria via LeMat-Bulk. Energies are from GGA-PBE.

Geometry as CIF:
```
data_Ac8CoPd3Br4
_chemical_formula_sum 'Ac24 Co3 Pd9 Br12'
_symmetry_space_group_name_H-M 'R -3 m'
_symmetry_Int_Tables_number 166
_symmetry_space_group_name_Hall '-R 3 2"'
_cell_length_a 8.8078
_cell_length_b 8.8078
_cell_length_c 24.7764
_cell_angle_alpha 90.00
_cell_angle_beta 90.00
_cell_angle_gamma 120.00
loop_
_atom_site_label
_atom_site_fract_x
_atom_site_fract_y
_atom_site_fract_z
_atom_site_occupancy
Ac1 0.0000 0.0000 0.2330 1
Ac2 0.0139 0.5070 0.2316 1
Co1 0.0000 0.0000 0.5000 1
Pd1 0.0000 0.5000 0.5000 1
Br1 0.0000 0.0000 0.0000 1
Br2 0.0000 0.5000 0.0000 1
```



Record 12
Here is a geometry-optimized AcPrCoBr structure from Alexandria via LeMat-Bulk. Energies are from GGA-PBE.

Geometry as CIF:
```
data_AcPrCoBr
_chemical_formula_sum 'Ac3 Pr3 Co3 Br3'
_symmetry_space_group_name_H-M 'R 3 m'
_symmetry_Int_Tables_number 160
_symmetry_space_group_name_Hall 'R 3 -2"'
_cell_length_a 4.1104
_cell_length_b 4.1104
_cell_length_c 24.4357
_cell_angle_alpha 90.00
_cell_angle_beta 90.00
_cell_angle_gamma 120.00
loop_
_atom_site_label
_atom_site_fract_x
_atom_site_fract_y
_atom_site_fract_z
_atom_site_occupancy
Ac1 0.0000 0.0000 0.0000 1
Pr1 0.0000 0.0000 0.7935 1
Co1 0.0000 0.0000 0.3987 1
Br1 0.0000 0.0000 0.2219 1
```



Summary of VASP energy in Ry/atom
-0.4040; -0.4213; -0.4262; -0.3698; -0.3804; -0.3769; -0.3692; -0.3602; -0.3620; -0.3634; -0.3604; -0.3773
(order as listed above)
Summary of formation energy (no corrections) in eV/atom
-0.73; -0.71; -0.55; -0.89; -1.24; -1.16; -0.72; -0.86; -1.00; -0.93; -1.01; -0.72
(order as listed above)
Summary of D(E_F) in states/eV/cell
3.3; 29.5; 10.7; 25.5; 27.8; 21.4; 20.6; 22.7; 15.4; 4.0; 37.8; 2.9
(order as listed above)